1.
Below is a relaxed structure of Nb3In2Cl10, with properties calculated at the PBE-GGA level.

a b c (Å): 7.1285 10.0428 12.4976
angles (deg): 111.21 106.57 90.00
With the nearest neighbours (Å) after each atom.
Sites, in units of the cell vectors:
1 Cl 0.2787 0.5000 0.0000  2 Nb 2.43
2 Cl 0.1192 0.7524 0.2385  2 Nb 2.49-2.52
3 Cl 0.1377 0.9476 0.7783  2 Nb 2.49-2.52
4 Cl 0.7666 0.7170 0.5333  1 Nb 2.46
5 Cl 0.8623 0.0524 0.2217  2 Nb 2.49-2.52
6 Cl 0.3594 0.0524 0.2217  2 Nb 2.49-2.52
7 Cl 0.6406 0.9476 0.7783  2 Nb 2.49-2.52
8 Cl 0.0158 0.2072 0.0316  3 Nb 2.50-2.63
9 Cl 0.0000 0.0000 0.5000  2 Nb 2.55
10 Cl 0.5000 0.0000 0.5000  2 Nb 2.55
11 Cl 0.8808 0.2476 0.7615  2 Nb 2.49-2.52
12 Cl 0.3730 0.4755 0.2693  1 Nb 2.57
13 Cl 0.9842 0.7928 0.9684  3 Nb 2.50-2.63
14 Cl 0.4838 0.8296 0.9677  2 Nb 2.59
15 Cl 0.7213 0.5000 0.0000  2 Nb 2.43
16 Cl 0.5162 0.1704 0.0323  2 Nb 2.59
17 Cl 0.8963 0.4755 0.2693  1 Nb 2.57
18 Cl 0.6270 0.5245 0.7307  1 Nb 2.57
19 Cl 0.2334 0.2830 0.4667  1 Nb 2.46
20 Cl 0.1037 0.5245 0.7307  1 Nb 2.57
21 Nb 0.7842 0.0000 0.0000  6 Cl 2.50-2.59
22 Nb 0.2158 0.0000 0.0000  6 Cl 2.50-2.59
23 Nb 0.8222 0.9794 0.6444  6 Cl 2.46-2.55
24 Nb 0.1778 0.0206 0.3556  6 Cl 2.46-2.55
25 Nb 0.0566 0.4901 0.1132  6 Cl 2.43-2.63
26 Nb 0.9434 0.5099 0.8868  6 Cl 2.43-2.63
27 In 0.6390 0.7072 0.2779  3 Cl 2.95-3.02
28 In 0.6982 0.3452 0.3965  2 Cl 3.00
29 In 0.3610 0.2928 0.7221  3 Cl 2.95-3.02
30 In 0.3018 0.6548 0.6035  2 Cl 3.00

Summary:
* uncorrected energy: -137.5 eV for the cell shown
* total moment: 4.02 μB per formula unit
* D(E_F): 11.88 states/eV/cell
* density: 3.6 Mg/m³
* formation energy without anion corrections: -0.97 eV/atom

***

2.
Below is a relaxed structure of Na3Ac2PmS6, with properties calculated at the PBE-GGA level.

a b c (Å): 4.2766 8.3283 9.3935
angles (deg): 100.53 103.16 90.00
With the nearest neighbours (Å) after each atom.
Sites, in units of the cell vectors:
1 Na 0.8385 0.1702 0.6769  6 S 2.92-3.24
2 Na 0.1615 0.8298 0.3231  6 S 2.92-3.24
3 Na 0.5000 0.5000 0.0000  6 S 3.01-3.10
4 S 0.0012 0.2310 0.0024  2 Pm 2.87, 3 Na 2.92-3.10, 1 Ac 2.97
5 S 0.6677 0.5773 0.3354  3 Ac 2.99-3.00, 3 Na 3.01-3.02
6 S 0.9988 0.7690 0.9976  2 Pm 2.87, 3 Na 2.92-3.10, 1 Ac 2.97
7 S 0.3323 0.4227 0.6646  3 Ac 2.99-3.00, 3 Na 3.01-3.02
8 S 0.6584 0.0770 0.3167  1 Pm 2.85, 2 Ac 2.97, 2 Na 2.98
9 S 0.3416 0.9230 0.6833  1 Pm 2.85, 2 Ac 2.97, 2 Na 2.98
10 Ac 0.8343 0.6736 0.6685  6 S 2.97-3.00
11 Ac 0.1657 0.3264 0.3315  6 S 2.97-3.00
12 Pm 0.5000 0.0000 0.0000  6 S 2.85-2.87

Summary:
* uncorrected energy: -63.3 eV for the cell shown
* total moment: 0.00 μB per formula unit
* D(E_F): 0.00 states/eV/cell
* density: 4.5 Mg/m³
* formation energy without anion corrections: -1.80 eV/atom

***

> Which of these has the highest total moment?

Nb3In2Cl10

***

> Look up the formation energy without anion corrections of the second one.

-1.80 eV/atom

***

> Which formula does entry 2 have?

Na3Ac2PmS6

***

> What is the formula in the first record?

Nb3In2Cl10